DFT (GGA-PBE) results for ThNbRe after structural relaxation.

Output
total moment = 0.01 μB/cell
DFT formation energy = 0.617 eV per atom
uncorrected energy = -0.3440 hartree per atom
V = 69.3 Å³/cell

Geometry as POSCAR:
```
ThNbRe
1.0
0.0000 3.2608 3.2608
3.2608 0.0000 3.2608
3.2608 3.2608 0.0000
Th Nb Re
1 1 1
Cartesian
0.0000 0.0000 0.0000 Th
4.8912 4.8912 4.8912 Nb
3.2608 3.2608 3.2608 Re
```

***

DFT (GGA-PBE) results for NaScNiS3 after structural relaxation.

Output
total moment = 0.03 μB/cell
uncorrected energy = -0.1974 hartree per atom
V = 216.9 Å³/cell

Geometry as POSCAR:
```
NaScNiS3
1.0
7.6158 -1.8613 0.0000
7.6158 1.8613 0.0000
-1.8214 0.0000 7.6519
Na Sc Ni S
2 2 2 6
Cartesian
1.9790 0.0000 0.5178 Na
11.4312 0.0000 7.1341 Na
1.5011 0.0000 4.5159 Sc
11.9091 0.0000 3.1361 Sc
7.0445 0.0000 2.2820 Ni
6.3657 0.0000 5.3700 Ni
-0.9107 0.0000 3.8260 S
4.0306 0.0000 4.9281 S
4.8805 0.0000 1.5288 S
7.6158 0.0000 0.0000 S
8.5297 0.0000 6.1232 S
9.3796 0.0000 2.7238 S
```

***

DFT (GGA-PBE) results for AcLaTm after structural relaxation.

Output
total moment = 0.02 μB/cell
DFT formation energy = 0.606 eV per atom
uncorrected energy = -0.1432 hartree per atom
ΔE to the lowest computed polymorph = 0.0 meV/atom
V = 130.9 Å³/cell

Geometry as POSCAR:
```
AcLaTm
1.0
0.0000 4.0301 4.0301
4.0301 0.0000 4.0301
4.0301 4.0301 0.0000
Ac La Tm
1 1 1
Cartesian
0.0000 0.0000 0.0000 Ac
4.0301 4.0301 4.0301 La
2.0151 2.0151 2.0151 Tm
```

***

DFT (GGA-PBE) results for KCuGe after structural relaxation.

Output
uncorrected energy = -0.0743 hartree per atom
ΔE to the lowest computed polymorph = 572.9 meV/atom
V = 90.8 Å³/cell

Geometry as POSCAR:
```
KCuGe
1.0
0.0000 3.5674 3.5674
3.5674 0.0000 3.5674
3.5674 3.5674 0.0000
K Cu Ge
1 1 1
Cartesian
0.0000 0.0000 0.0000 K
5.3511 5.3511 5.3511 Cu
1.7837 1.7837 1.7837 Ge
```

***

DFT (GGA-PBE) results for HoErZn2Ir4 after structural relaxation.

Output
total moment = 0.00 μB/cell
DFT formation energy = -0.434 eV per atom
uncorrected energy = -0.2323 hartree per atom
V = 134.6 Å³/cell

Geometry as POSCAR:
```
HoErZn2Ir4
1.0
4.5626 0.0000 0.0000
0.0000 4.5626 0.0000
0.0000 0.0000 6.4645
Ho Er Zn Ir
1 1 2 4
Cartesian
0.0000 0.0000 0.0000 Ho
2.2813 2.2813 3.2322 Er
0.0000 0.0000 3.2322 Zn
2.2813 2.2813 0.0000 Zn
0.0000 2.2813 1.6190 Ir
0.0000 2.2813 4.8455 Ir
2.2813 0.0000 1.6190 Ir
2.2813 0.0000 4.8455 Ir
```

***

DFT (GGA-PBE) results for TaFeAgAs after structural relaxation.

Output
total moment = 1.94 μB/cell
uncorrected energy = -0.2412 hartree per atom
ΔE to the lowest computed polymorph = 0.0 meV/atom
V = 62.9 Å³/cell

Geometry as POSCAR:
```
TaFeAgAs
1.0
0.0000 3.1567 3.1567
3.1567 0.0000 3.1567
3.1567 3.1567 0.0000
Ta Fe Ag As
1 1 1 1
Cartesian
0.0000 0.0000 0.0000 Ta
3.1567 3.1567 3.1567 Fe
4.7350 4.7350 4.7350 Ag
1.5783 1.5783 1.5783 As
```

***

DFT (GGA-PBE) results for Cu2GeSe2S after structural relaxation.

Output
uncorrected energy = -0.1514 hartree per atom
V = 126.5 Å³/cell

Geometry as POSCAR:
```
Cu2GeSe2S
1.0
-1.9863 5.8455 2.7239
1.9863 -5.8455 2.7239
1.9863 5.8455 -2.7239
Cu Ge Se S
2 1 2 1
Cartesian
0.0000 1.8582 0.0000 Cu
0.0000 9.8329 0.0000 Cu
0.0000 5.8455 0.0017 Ge
1.9863 -1.9832 1.3550 Se
1.9863 1.9832 1.3550 Se
0.0000 0.0000 4.1107 S
```

***

DFT (GGA-PBE) results for ZrSeI after structural relaxation.

Output
total moment = 0.04 μB/cell
uncorrected energy = -0.2074 hartree per atom
V = 382.4 Å³/cell

Geometry as POSCAR:
```
ZrSeI
1.0
3.8642 0.0000 0.0000
0.0000 6.9016 0.0000
0.0000 0.0000 14.3381
Zr Se I
4 4 4
Cartesian
0.0000 0.0241 0.0000 Zr
0.0000 2.7306 7.0121 Zr
1.9321 4.1710 14.1811 Zr
1.9321 6.8775 7.1690 Zr
0.0000 0.7572 8.8150 Se
0.0000 4.9552 12.5333 Se
1.9321 1.9465 5.3643 Se
1.9321 6.1444 1.6460 Se
0.0000 2.6527 1.6146 I
0.0000 5.3590 5.3963 I
1.9321 1.5426 12.5653 I
1.9321 4.2489 8.7837 I
```

***

DFT (GGA-PBE) results for LiDyMgTe3 after structural relaxation.

Output
total moment = 0.00 μB/cell
uncorrected energy = -0.1456 hartree per atom
V = 362.8 Å³/cell

Geometry as POSCAR:
```
LiDyMgTe3
1.0
2.1664 -7.1513 0.0000
2.1664 7.1513 0.0000
0.0000 0.0000 11.7075
Li Dy Mg Te
2 2 2 6
Cartesian
2.1664 3.9613 8.7806 Li
2.1664 -3.9613 2.9269 Li
0.0000 0.0000 0.0000 Dy
0.0000 0.0000 5.8538 Dy
2.1664 0.2810 2.9269 Mg
2.1664 -0.2810 8.7806 Mg
2.1664 5.7016 2.9269 Te
2.1664 2.0374 0.8071 Te
2.1664 2.0374 5.0467 Te
2.1664 -2.0374 6.6608 Te
2.1664 -2.0374 10.9004 Te
2.1664 -5.7016 8.7806 Te
```

***

DFT (GGA-PBE) results for SmPb2SeO6 after structural relaxation.

Output
total moment = 0.00 μB/cell
uncorrected energy = -0.2169 hartree per atom
V = 144.0 Å³/cell

Geometry as POSCAR:
```
SmPb2SeO6
1.0
0.0000 4.1598 4.1598
4.1598 0.0000 4.1598
4.1598 4.1598 0.0000
Sm Pb Se O
1 2 1 6
Cartesian
0.0000 0.0000 0.0000 Sm
2.0799 2.0799 2.0799 Pb
6.2397 6.2397 6.2397 Pb
4.1598 4.1598 4.1598 Se
4.1598 4.1598 2.2373 O
4.1598 2.2373 4.1598 O
6.0824 4.1598 4.1598 O
2.2373 4.1598 4.1598 O
4.1598 6.0824 4.1598 O
4.1598 4.1598 6.0824 O
```

***

DFT (GGA-PBE) results for DyHoNi2 after structural relaxation.

Output
total moment = 0.00 μB/cell
DFT formation energy = -0.469 eV per atom
uncorrected energy = -0.2039 hartree per atom
V = 157.9 Å³/cell

Geometry as POSCAR:
```
DyHoNi2
1.0
4.1637 0.0000 0.0000
0.0000 7.0242 0.0000
0.0000 0.0000 5.3998
Dy Ho Ni
2 2 4
Cartesian
0.0000 0.4940 0.0000 Dy
2.0818 6.5303 2.6999 Dy
0.0000 4.0053 1.2945 Ho
2.0818 3.0189 3.9945 Ho
0.0000 1.4902 2.6704 Ni
0.0000 5.0007 4.0243 Ni
2.0818 2.0235 1.3244 Ni
2.0818 5.5341 5.3703 Ni
```

***

DFT (GGA-PBE) results for ZnI2 after structural relaxation.

Output
uncorrected energy = -0.0704 hartree per atom
V = 105.3 Å³/cell

Geometry as POSCAR:
```
ZnI2
1.0
2.0435 1.1798 7.2782
-2.0435 1.1798 7.2782
0.0000 -2.3596 7.2782
Zn I
1 2
Cartesian
0.0000 0.0000 0.0000 Zn
0.0000 0.0000 5.6445 I
0.0000 0.0000 16.1901 I
```

***

DFT (GGA-PBE) results for Zr2BO4 after structural relaxation.

Output
total moment = 0.22 μB/cell
uncorrected energy = -0.2959 hartree per atom
V = 187.3 Å³/cell

Geometry as POSCAR:
```
Zr2BO4
1.0
0.0000 4.5411 4.5411
4.5411 0.0000 4.5411
4.5411 4.5411 0.0000
Zr B O
4 2 8
Cartesian
0.0000 0.0000 0.0000 Zr
2.2705 2.2705 0.0000 Zr
2.2705 0.0000 2.2705 Zr
0.0000 2.2705 2.2705 Zr
3.4058 3.4058 3.4058 B
5.6763 5.6763 5.6763 B
6.9226 4.4301 4.4301 O
2.1596 2.1596 2.1596 O
4.6521 4.6521 2.1596 O
4.6521 2.1596 4.6521 O
4.4301 6.9226 4.4301 O
4.4301 4.4301 6.9226 O
6.9226 6.9226 6.9226 O
2.1596 4.6521 4.6521 O
```

***

DFT (GGA-PBE) results for BaCuSbPt after structural relaxation.

Output
total moment = 0.00 μB/cell
uncorrected energy = -0.1510 hartree per atom
ΔE to the lowest computed polymorph = 0.0 meV/atom
V = 94.0 Å³/cell

Geometry as POSCAR:
```
BaCuSbPt
1.0
0.0000 3.6082 3.6082
3.6082 0.0000 3.6082
3.6082 3.6082 0.0000
Ba Cu Sb Pt
1 1 1 1
Cartesian
0.0000 0.0000 0.0000 Ba
5.4123 5.4123 5.4123 Cu
3.6082 3.6082 3.6082 Sb
1.8041 1.8041 1.8041 Pt
```

***

DFT (GGA-PBE) results for TcB2W after structural relaxation.

Output
total moment = 0.00 μB/cell
uncorrected energy = -0.2984 hartree per atom
V = 46.4 Å³/cell

Geometry as POSCAR:
```
TcB2W
1.0
0.0000 2.8511 2.8511
2.8511 0.0000 2.8511
2.8511 2.8511 0.0000
Tc B W
1 2 1
Cartesian
0.0000 0.0000 0.0000 Tc
2.8511 2.8511 2.8511 B
4.2767 4.2767 4.2767 B
1.4256 1.4256 1.4256 W
```

***

DFT (GGA-PBE) results for GePtW2 after structural relaxation.

Output
total moment = 0.04 μB/cell
uncorrected energy = -0.3221 hartree per atom
V = 63.9 Å³/cell

Geometry as POSCAR:
```
GePtW2
1.0
0.0000 3.1731 3.1731
3.1731 0.0000 3.1731
3.1731 3.1731 0.0000
Ge Pt W
1 1 2
Cartesian
0.0000 0.0000 0.0000 Ge
1.5866 1.5866 1.5866 Pt
3.1731 3.1731 3.1731 W
4.7597 4.7597 4.7597 W
```

***

DFT (GGA-PBE) results for Tb2PrSn3Pd3 after structural relaxation.

Output
total moment = 0.01 μB/cell
uncorrected energy = -0.2038 hartree per atom
V = 203.6 Å³/cell

Geometry as POSCAR:
```
Tb2PrSn3Pd3
1.0
4.0791 0.0000 0.0000
0.0000 6.5907 3.7862
0.0000 -6.5907 3.7862
Tb Pr Sn Pd
2 1 3 3
Cartesian
0.0000 -3.8929 3.7862 Tb
0.0000 3.8929 3.7862 Tb
0.0000 0.0000 4.6612 Pr
2.0395 -1.6910 2.4974 Sn
2.0395 1.6910 2.4974 Sn
2.0395 0.0000 7.1971 Sn
0.0000 0.0000 1.5105 Pd
2.0395 -2.2492 5.3437 Pd
2.0395 2.2492 5.3437 Pd
```

***

DFT (GGA-PBE) results for La2Zr2O5 after structural relaxation.

Output
total moment = 1.92 μB/cell
uncorrected energy = -0.3070 hartree per atom
ΔE to the lowest computed polymorph = 219.1 meV/atom
V = 142.7 Å³/cell

Geometry as POSCAR:
```
La2Zr2O5
1.0
3.6749 0.0000 0.0000
0.0000 3.6749 0.0000
0.0000 0.0000 10.5667
La Zr O
2 2 5
Cartesian
0.0000 0.0000 2.6425 La
0.0000 0.0000 7.9241 La
1.8374 1.8374 0.0000 Zr
1.8374 1.8374 5.2833 Zr
0.0000 0.0000 0.0000 O
0.0000 1.8374 4.0198 O
0.0000 1.8374 6.5469 O
1.8374 0.0000 4.0198 O
1.8374 0.0000 6.5469 O
```

***

DFT (GGA-PBE) results for Ho5Be after structural relaxation.

Output
total moment = 0.00 μB/cell
uncorrected energy = -0.1317 hartree per atom
V = 192.2 Å³/cell

Geometry as POSCAR:
```
Ho5Be
1.0
6.2426 0.0000 0.0000
-3.1213 5.4063 0.0000
0.0000 0.0000 5.6957
Ho Be
5 1
Cartesian
-1.5607 2.7031 0.0000 Ho
0.0000 3.6042 2.8478 Ho
3.1213 0.0000 0.0000 Ho
1.5607 2.7031 0.0000 Ho
3.1213 1.8021 2.8478 Ho
0.0000 0.0000 2.8478 Be
```

***

DFT (GGA-PBE) results for Na2TaGaH6 after structural relaxation.

Output
total moment = 4.00 μB/cell
uncorrected energy = -0.1321 hartree per atom
V = 242.2 Å³/cell

Geometry as POSCAR:
```
Na2TaGaH6
1.0
5.5571 0.0000 0.0000
0.0000 5.7562 0.0000
-5.2579 0.0000 7.5702
Na Ta Ga H
4 2 2 12
Cartesian
0.0045 0.2021 1.8560 Na
-2.6245 2.6760 5.6411 Na
2.9237 3.0802 1.9291 Na
0.2948 5.5541 5.7142 Na
2.7786 0.0000 0.0000 Ta
0.1496 2.8781 3.7851 Ta
-2.6289 0.0000 3.7851 Ga
0.0000 2.8781 0.0000 Ga
-4.0463 1.0578 7.2849 H
-1.4174 1.8203 3.4998 H
-3.4921 4.2180 7.0356 H
-0.8631 4.4164 3.2505 H
-1.8798 0.4647 5.8261 H
0.7492 2.4134 2.0410 H
-0.4500 3.3428 5.5292 H
2.1790 5.2916 1.7441 H
1.1624 1.3398 4.3197 H
3.7913 1.5383 0.5346 H
1.7166 3.9359 4.0704 H
4.3456 4.6984 0.2853 H
```

***

DFT (GGA-PBE) results for TaGePO after structural relaxation.

Output
total moment = 0.00 μB/cell
uncorrected energy = -0.2824 hartree per atom
ΔE to the lowest computed polymorph = 0.0 meV/atom
V = 141.8 Å³/cell

Geometry as POSCAR:
```
TaGePO
1.0
3.3047 0.0000 0.0000
0.0000 5.8990 0.0000
0.0000 0.0000 7.2737
Ta Ge P O
2 2 2 2
Cartesian
0.0000 0.2948 0.0000 Ta
0.0000 5.6043 3.6368 Ta
1.6524 1.8238 4.2159 Ge
1.6524 4.0752 0.5790 Ge
1.6524 2.0744 6.6114 P
1.6524 3.8246 2.9745 P
0.0000 0.6060 1.8705 O
0.0000 5.2931 5.5074 O
```

***

DFT (GGA-PBE) results for Mg2CuSb2Au after structural relaxation.

Output
uncorrected energy = -0.1252 hartree per atom
V = 523.4 Å³/cell

Geometry as POSCAR:
```
Mg2CuSb2Au
1.0
7.8354 0.0000 0.0000
0.0000 4.5223 0.0000
-2.6093 0.0000 14.7712
Mg Cu Sb Au
8 4 8 4
Cartesian
0.0000 0.0000 0.0000 Mg
-1.3045 2.2611 7.4152 Mg
-0.0042 0.0000 11.0651 Mg
1.3086 2.2611 3.7926 Mg
2.5836 0.0000 7.4168 Mg
3.9115 2.2611 0.0154 Mg
3.9013 2.2611 11.0739 Mg
5.2004 0.0000 3.7896 Mg
0.0029 0.0000 13.8564 Cu
1.3067 2.2611 6.5329 Cu
2.5950 0.0000 10.1578 Cu
5.2042 0.0000 6.5188 Cu
-0.0117 0.0000 5.7053 Sb
-1.2077 2.2611 13.0119 Sb
2.6021 0.0000 1.7560 Sb
1.4053 2.2611 9.2312 Sb
2.4954 0.0000 12.8434 Sb
3.9089 2.2611 5.6900 Sb
5.1080 0.0000 9.2008 Sb
6.5182 2.2611 1.8835 Sb
-1.3009 2.2611 10.1718 Au
0.0038 0.0000 2.8431 Au
3.8936 2.2611 2.8307 Au
3.9059 2.2611 13.8445 Au
```

***

DFT (GGA-PBE) results for ZnO3 after structural relaxation.

Output
uncorrected energy = -0.1210 hartree per atom
ΔE to the lowest computed polymorph = 1075.5 meV/atom
V = 54.0 Å³/cell

Geometry as POSCAR:
```
ZnO3
1.0
3.7788 0.0000 0.0000
0.0000 3.7788 0.0000
0.0000 0.0000 3.7788
Zn O
1 3
Cartesian
0.0000 0.0000 0.0000 Zn
0.0000 0.0000 1.8894 O
0.0000 1.8894 0.0000 O
1.8894 0.0000 0.0000 O
```

***

DFT (GGA-PBE) results for ZrTlCoAu after structural relaxation.

Output
total moment = 1.04 μB/cell
uncorrected energy = -0.1930 hartree per atom
ΔE to the lowest computed polymorph = 75.3 meV/atom
V = 73.0 Å³/cell

Geometry as POSCAR:
```
ZrTlCoAu
1.0
0.0000 3.3165 3.3165
3.3165 0.0000 3.3165
3.3165 3.3165 0.0000
Zr Tl Co Au
1 1 1 1
Cartesian
0.0000 0.0000 0.0000 Zr
1.6582 1.6582 1.6582 Tl
3.3165 3.3165 3.3165 Co
4.9747 4.9747 4.9747 Au
```

***

DFT (GGA-PBE) results for Sb2MoPd after structural relaxation.

Output
total moment = 0.26 μB/cell
uncorrected energy = -0.2046 hartree per atom
V = 79.5 Å³/cell

Geometry as POSCAR:
```
Sb2MoPd
1.0
0.0000 3.4127 3.4127
3.4127 0.0000 3.4127
3.4127 3.4127 0.0000
Sb Mo Pd
2 1 1
Cartesian
0.0000 0.0000 0.0000 Sb
1.7064 1.7064 1.7064 Sb
5.1191 5.1191 5.1191 Mo
3.4127 3.4127 3.4127 Pd
```